[1]
Entry from the Alexandria database: a relaxed structure of PrSm3Ag4 (PBE).

## Properties
DOS at the Fermi energy	0.82	states/eV/atom
formation energy	-267.4	meV/atom
SG	Pmma (51)

Cell lengths 10.5942, 7.3993, 5.2978 Å; angles 90.00, 90.00, 90.00 degrees
Sites, in units of the cell vectors:
Pr  0.0000  0.0000  0.0000
Pr  0.5000  0.0000  0.0000
Sm  0.0000  0.5000  0.0000
Sm  0.2500  0.0000  0.4993
Sm  0.2500  0.5000  0.4992
Sm  0.5000  0.5000  0.0000
Sm  0.7500  0.0000  0.5007
Sm  0.7500  0.5000  0.5008
Ag  0.0000  0.2562  0.5000
Ag  0.0000  0.7438  0.5000
Ag  0.2500  0.2561  0.9990
Ag  0.2500  0.7439  0.9990
Ag  0.5000  0.2562  0.5000
Ag  0.5000  0.7438  0.5000
Ag  0.7500  0.2561  0.0010
Ag  0.7500  0.7439  0.0010

=====

[2]
Entry from the Alexandria database: a relaxed structure of Pr2SmAg2Sn2 (PBE).

## Properties
DOS at the Fermi energy	0.56	states/eV/atom
formation energy	-425.3	meV/atom
SG	R-3m (166)

Cell lengths 9.8517, 9.8517, 9.8517 Å; angles 28.50, 28.50, 28.50 degrees
Sites, in units of the cell vectors:
Pr  0.1277  0.1277  0.1277
Pr  0.8723  0.8723  0.8723
Sm  0.0000  0.0000  0.0000
Ag  0.3951  0.3951  0.3951
Ag  0.6049  0.6049  0.6049
Sn  0.2640  0.2640  0.2640
Sn  0.7360  0.7360  0.7360

=====

[3]
Entry from the Alexandria database: a relaxed structure of PrSmAgSn (PBE).

## Properties
DOS at the Fermi energy	1.12	states/eV/atom
formation energy	-518.9	meV/atom
SG	F-43m (216)

Cell lengths 5.3922, 5.3922, 5.3922 Å; angles 60.00, 60.00, 60.00 degrees
Sites, in units of the cell vectors:
Pr  0.0000  0.0000  0.0000
Sm  0.5000  0.5000  0.5000
Ag  0.7500  0.7500  0.7500
Sn  0.2500  0.2500  0.2500

=====

[4]
Entry from the Alexandria database: a relaxed structure of PrSm2Ag2Sn2 (PBE).

## Properties
DOS at the Fermi energy	0.48	states/eV/atom
formation energy	-435.9	meV/atom
SG	R-3m (166)

Cell lengths 9.3772, 9.3772, 9.3772 Å; angles 30.29, 30.29, 30.29 degrees
Sites, in units of the cell vectors:
Pr  0.0000  0.0000  0.0000
Sm  0.1352  0.1352  0.1352
Sm  0.8648  0.8648  0.8648
Ag  0.4327  0.4327  0.4327
Ag  0.5673  0.5673  0.5673
Sn  0.2644  0.2644  0.2644
Sn  0.7356  0.7356  0.7356

=====

[5]
Entry from the Alexandria database: a relaxed structure of TbPrSmAg (PBE).

## Properties
DOS at the Fermi energy	1.16	states/eV/atom
formation energy	71.1	meV/atom
SG	F-43m (216)

Cell lengths 5.4939, 5.4939, 5.4939 Å; angles 60.00, 60.00, 60.00 degrees
Sites, in units of the cell vectors:
Tb  0.0000  0.0000  0.0000
Pr  0.7500  0.7500  0.7500
Sm  0.2500  0.2500  0.2500
Ag  0.5000  0.5000  0.5000

=====

[6]
Entry from the Alexandria database: a relaxed structure of TbPrSmAg (PBE).

## Properties
DOS at the Fermi energy	1.46	states/eV/atom
formation energy	-123.4	meV/atom
SG	P4mm (99)

Cell lengths 3.6835, 3.6835, 8.8085 Å; angles 90.00, 90.00, 90.00 degrees
Sites, in units of the cell vectors:
Tb  0.0000  0.0000  0.0000
Pr  0.5000  0.5000  0.7102
Sm  0.0000  0.0000  0.4161
Ag  0.5000  0.5000  0.1991

=====

DFT total energy values (in eV per atom) by entry order: -4.0602; -4.4234; -4.6071; -4.4253; -4.1739; -4.3684.